# 1
Ac6La12Th | PBE-GGA | optimized geometry

Symmetry ... No. 166

a = 9.292 Å, b = 9.292 Å, c = 9.292 Å
α = 99.08°, β = 99.08°, γ = 99.08°
Atoms (fractional coordinates):
Ac: 0.087 0.356 0.356
Ac: 0.356 0.087 0.356
Ac: 0.356 0.356 0.087
Ac: 0.644 0.644 0.913
Ac: 0.644 0.913 0.644
Ac: 0.913 0.644 0.644
La: 0.088 0.088 0.663
La: 0.088 0.663 0.088
La: 0.244 0.500 0.756
La: 0.244 0.756 0.500
La: 0.337 0.912 0.912
La: 0.500 0.244 0.756
La: 0.500 0.756 0.244
La: 0.663 0.088 0.089
La: 0.756 0.244 0.500
La: 0.756 0.500 0.244
La: 0.912 0.337 0.912
La: 0.912 0.912 0.337
Th: 0.500 0.500 0.500



# 2
AcLa6Th | PBE-GGA | optimized geometry

Symmetry ... No. 123

a = 5.249 Å, b = 5.249 Å, c = 10.605 Å
α = 90.00°, β = 90.00°, γ = 90.00°
Atoms (fractional coordinates):
Ac: 0.000 0.000 0.000
La: 0.000 0.500 0.263
La: 0.000 0.500 0.737
La: 0.500 0.000 0.263
La: 0.500 0.000 0.737
La: 0.500 0.500 0.000
La: 0.500 0.500 0.500
Th: 0.000 0.000 0.500



| no. | total magnetization (μB per atom) | formation energy (eV per atom) | E (eV per atom) |
| --- | --- | --- | --- |
| 1 | 0.000 | 0.11 | -4.691 |
| 2 | 0.000 | 0.02 | -5.116 |